# 1
# TaV2Pd6

An optimized crystal structure of TaV2Pd6 (PBE-GGA, Alexandria).

- Formation enthalpy at 0 K: -184.4 meV/atom

Cell lengths 6.9990, 6.9299, 6.9299 Å; angles 85.42, 65.45, 65.45 degrees
Element x y z (fractional)
V (0.4029, 0.1970, 0.4989)
V (0.5971, 0.8030, 0.5011)
V (0.9029, 0.4989, 0.1970)
V (0.0971, 0.5011, 0.8030)
Pd (0.8144, 0.2745, 0.9441)
Pd (0.1426, 0.8772, 0.6934)
Pd (0.8574, 0.1228, 0.3066)
Pd (0.6856, 0.0559, 0.7255)
Pd (0.3144, 0.9441, 0.2745)
Pd (0.3574, 0.3066, 0.1228)
Pd (0.5038, 0.4679, 0.6882)
Pd (0.0038, 0.6882, 0.4679)
Pd (0.4962, 0.5321, 0.3118)
Pd (0.6426, 0.6934, 0.8772)
Pd (0.9962, 0.3118, 0.5321)
Pd (0.1856, 0.7255, 0.0559)
Ta (0.2500, 0.0851, 0.9149)
Ta (0.7500, 0.9149, 0.0851)


# 2
# TaVPd2W

An optimized crystal structure of TaVPd2W (PBE-GGA, Alexandria).

- Formation enthalpy at 0 K: 1353.3 meV/atom

Cell lengths 4.4378, 4.6908, 4.4378 Å; angles 90.00, 90.00, 90.00 degrees
Element x y z (fractional)
Ta (0.0000, 0.5000, 0.0000)
V (0.0000, 0.0000, 0.0000)
Pd (0.0000, 0.0000, 0.5000)
Pd (0.5000, 0.0000, 0.0000)
W (0.5000, 0.5000, 0.5000)